No. 1
DFT (PBE) results for a geometry-optimized Tb3Pr9Y2 structure.

Cell and atoms, written as POSCAR:
```
Tb3Pr9Y2
1.0
9.1172 0.0000 0.0000
-4.5586 7.8957 0.0000
0.0000 0.0000 14.2037
Tb Pr Y
6 18 4
Direct
0.0788 0.2492 0.2500 Tb
0.1703 0.9212 0.2500 Tb
0.2492 0.1703 0.7500 Tb
0.7508 0.8297 0.2500 Tb
0.8297 0.0788 0.7500 Tb
0.9212 0.7508 0.7500 Tb
0.0791 0.4816 0.7500 Pr
0.1321 0.7274 0.5428 Pr
0.1321 0.7274 0.9572 Pr
0.2726 0.4047 0.5428 Pr
0.2726 0.4047 0.9572 Pr
0.4025 0.9209 0.7500 Pr
0.4047 0.1321 0.0428 Pr
0.4047 0.1321 0.4572 Pr
0.4816 0.4025 0.2500 Pr
0.5184 0.5975 0.7500 Pr
0.5953 0.8679 0.5428 Pr
0.5953 0.8679 0.9572 Pr
0.5975 0.0791 0.2500 Pr
0.7274 0.5953 0.0428 Pr
0.7274 0.5953 0.4572 Pr
0.8679 0.2726 0.0428 Pr
0.8679 0.2726 0.4572 Pr
0.9209 0.5184 0.2500 Pr
0.3333 0.6667 0.1421 Y
0.3333 0.6667 0.3579 Y
0.6667 0.3333 0.6421 Y
0.6667 0.3333 0.8579 Y
```

Properties
formation energy	232	meV/atom
SG	P6_3/m
calculated density	6.2	g/cm3
density of states at the Fermi level	38.19	states/eV/cell
electronic total energy	-4.757	eV/atom
total magnetization	0.000	μB per formula unit



No. 2
DFT (PBE) results for a geometry-optimized TbPr2Y5 structure.

Cell and atoms, written as POSCAR:
```
TbPr2Y5
1.0
7.2099 0.0000 0.0000
0.0000 14.4230 0.0000
0.0000 0.0000 5.0971
Tb Pr Y
2 4 10
Direct
0.0000 0.0000 0.0000 Tb
0.5000 0.5000 0.0000 Tb
0.2496 0.1246 0.5000 Pr
0.2504 0.6246 0.5000 Pr
0.7496 0.3754 0.5000 Pr
0.7504 0.8754 0.5000 Pr
0.0003 0.2496 0.0000 Y
0.0000 0.5000 0.0000 Y
0.9997 0.7504 0.0000 Y
0.2491 0.8753 0.5000 Y
0.2509 0.3753 0.5000 Y
0.5000 0.0000 0.0000 Y
0.5003 0.2504 0.0000 Y
0.4997 0.7496 0.0000 Y
0.7491 0.6247 0.5000 Y
0.7509 0.1247 0.5000 Y
```

Properties
formation energy	21	meV/atom
SG	Pbam
energy relative to the lowest polymorph listed for this composition	0.00	kcal/mol of atoms
calculated density	5.5	g/cm3
density of states at the Fermi level	24.23	states/eV/cell
electronic total energy	-5.793	eV/atom
total magnetization	0.000	μB per formula unit



No. 3
DFT (PBE) results for a geometry-optimized TbPr3Y structure.

Cell and atoms, written as POSCAR:
```
TbPr3Y
1.0
10.0279 -6.1520 0.0000
10.0279 6.1520 0.0000
-1.7383 0.0000 5.6453
Tb Pr Y
4 12 4
Direct
0.0884 0.9116 0.7500 Tb
0.4103 0.5897 0.2500 Tb
0.5897 0.4103 0.7500 Tb
0.9116 0.0884 0.2500 Tb
0.0638 0.7459 0.1550 Pr
0.0874 0.3051 0.4457 Pr
0.2497 0.5583 0.6531 Pr
0.2541 0.9362 0.3450 Pr
0.3051 0.0874 0.9457 Pr
0.4417 0.7503 0.8469 Pr
0.5583 0.2497 0.1531 Pr
0.6949 0.9126 0.0543 Pr
0.7459 0.0638 0.6550 Pr
0.7503 0.4417 0.3469 Pr
0.9126 0.6949 0.5543 Pr
0.9362 0.2541 0.8450 Pr
0.1961 0.4113 0.0527 Y
0.4113 0.1961 0.5527 Y
0.5887 0.8039 0.4473 Y
0.8039 0.5887 0.9473 Y
```

Properties
formation energy	69	meV/atom
SG	C2/c
energy relative to the lowest polymorph listed for this composition	0.00	kcal/mol of atoms
calculated density	6.4	g/cm3
density of states at the Fermi level	30.91	states/eV/cell
electronic total energy	-5.018	eV/atom
total magnetization	0.000	μB per formula unit



No. 4
DFT (PBE) results for a geometry-optimized Tb3PrY7 structure.

Cell and atoms, written as POSCAR:
```
Tb3PrY7
1.0
6.9478 0.0000 0.0000
0.0000 5.5799 0.0000
-3.3168 0.0000 9.4601
Tb Pr Y
3 1 7
Direct
0.0000 0.0000 0.0000 Tb
0.2219 0.5000 0.5035 Tb
0.7781 0.5000 0.4965 Tb
0.5000 0.0000 0.0000 Pr
0.0757 0.0000 0.6690 Y
0.1773 0.5000 0.8602 Y
0.3528 0.5000 0.2121 Y
0.5000 0.0000 0.5000 Y
0.6472 0.5000 0.7879 Y
0.8227 0.5000 0.1398 Y
0.9243 0.0000 0.3310 Y
```

Properties
formation energy	142	meV/atom
SG	P2/m
energy relative to the lowest polymorph listed for this composition	0.00	kcal/mol of atoms
calculated density	5.6	g/cm3
density of states at the Fermi level	18.72	states/eV/cell
electronic total energy	-5.669	eV/atom
total magnetization	0.000	μB per formula unit



No. 5
DFT (PBE) results for a geometry-optimized Tb15Pr2Y2 structure.

Cell and atoms, written as POSCAR:
```
Tb15Pr2Y2
1.0
5.6455 3.2594 5.8661
-5.6455 3.2594 5.8661
0.0000 -6.5189 5.8661
Tb Pr Y
15 2 2
Direct
0.0000 0.0000 0.5000 Tb
0.0000 0.2967 0.7033 Tb
0.0000 0.5000 0.0000 Tb
0.0000 0.7033 0.2967 Tb
0.1497 0.6314 0.6314 Tb
0.2967 0.0000 0.7033 Tb
0.2967 0.7033 0.0000 Tb
0.3686 0.3686 0.8503 Tb
0.3686 0.8503 0.3686 Tb
0.5000 0.0000 0.0000 Tb
0.6314 0.1497 0.6314 Tb
0.6314 0.6314 0.1497 Tb
0.7033 0.0000 0.2967 Tb
0.7033 0.2967 0.0000 Tb
0.8503 0.3686 0.3686 Tb
0.3270 0.3270 0.3270 Pr
0.6730 0.6730 0.6730 Pr
0.0967 0.0967 0.0967 Y
0.9033 0.9033 0.9033 Y
```

Properties
formation energy	266	meV/atom
SG	R-3m
calculated density	7.3	g/cm3
density of states at the Fermi level	35.71	states/eV/cell
electronic total energy	-4.573	eV/atom
total magnetization	1.098	μB per formula unit



No. 6
DFT (PBE) results for a geometry-optimized Tb6PrY4 structure.

Cell and atoms, written as POSCAR:
```
Tb6PrY4
1.0
-3.3054 3.3054 8.6087
3.3054 -3.3054 8.6087
3.3054 3.3054 -8.6087
Tb Pr Y
6 1 4
Direct
0.0000 0.5000 0.5000 Tb
0.0138 0.6414 0.0000 Tb
0.3586 0.3586 0.3724 Tb
0.5000 0.0000 0.5000 Tb
0.6414 0.0138 0.0000 Tb
0.9862 0.9862 0.6276 Tb
0.0000 0.0000 0.0000 Pr
0.1878 0.1878 0.6410 Y
0.4532 0.8122 0.0000 Y
0.5468 0.5468 0.3590 Y
0.8122 0.4532 0.0000 Y
```

Properties
formation energy	327	meV/atom
SG	I-42m
energy relative to the lowest polymorph listed for this composition	0.41	kcal/mol of atoms
calculated density	6.4	g/cm3
density of states at the Fermi level	16.58	states/eV/cell
electronic total energy	-4.983	eV/atom
total magnetization	0.000	μB per formula unit



No. 7
DFT (PBE) results for a geometry-optimized Tb5PrY6 structure.

Cell and atoms, written as POSCAR:
```
Tb5PrY6
1.0
3.1012 -5.3665 0.0000
3.1012 5.3665 0.0000
-2.0548 0.0000 11.6650
Tb Pr Y
5 1 6
Direct
0.0000 0.0000 0.0000 Tb
0.1667 0.8333 0.5000 Tb
0.3331 0.6669 0.0000 Tb
0.6669 0.3331 0.0000 Tb
0.8333 0.1667 0.5000 Tb
0.5000 0.5000 0.5000 Pr
0.0821 0.4161 0.2486 Y
0.2496 0.2496 0.7512 Y
0.4161 0.0821 0.2486 Y
0.5839 0.9179 0.7514 Y
0.7504 0.7504 0.2488 Y
0.9179 0.5839 0.7514 Y
```

Properties
formation energy	17	meV/atom
SG	C2/m
energy relative to the lowest polymorph listed for this composition	0.00	kcal/mol of atoms
calculated density	6.3	g/cm3
density of states at the Fermi level	16.37	states/eV/cell
electronic total energy	-5.542	eV/atom
total magnetization	0.000	μB per formula unit



No. 8
DFT (PBE) results for a geometry-optimized Tb5PrY5 structure.

Cell and atoms, written as POSCAR:
```
Tb5PrY5
1.0
6.1035 0.0000 0.0000
-3.0518 5.2858 0.0000
0.0000 0.0000 11.7231
Tb Pr Y
5 1 5
Direct
0.0000 0.0000 0.0000 Tb
0.3333 0.6667 0.3229 Tb
0.3333 0.6667 0.6771 Tb
0.6667 0.3333 0.1561 Tb
0.6667 0.3333 0.8439 Tb
0.3333 0.6667 0.0000 Pr
0.0000 0.0000 0.2621 Y
0.0000 0.0000 0.7379 Y
0.3343 0.1672 0.5000 Y
0.8328 0.1672 0.5000 Y
0.8328 0.6657 0.5000 Y
```

Properties
formation energy	337	meV/atom
SG	P-6m2
energy relative to the lowest polymorph listed for this composition	1.02	kcal/mol of atoms
calculated density	6.1	g/cm3
density of states at the Fermi level	21.96	states/eV/cell
electronic total energy	-5.140	eV/atom
total magnetization	0.002	μB per formula unit